{
  "formula": "MgCuAuO4",
  "functional": "PBE",
  "state": "relaxed",
  "sg": "No. 74",
  "dos_ef_per_ev_cell": 1.94,
  "formation_energy_uncorrected_kj_per_mol_atoms": -87,
  "e_tot_ev_per_atom": -5.011,
  "lattice": [[-2.756, 2.913, 6.174], [2.756, -2.913, 6.174], [2.756, 2.913, -6.174]],
  "species": ["Mg", "Mg", "Cu", "Cu", "Au", "Au", "O", "O", "O", "O", "O", "O", "O", "O"],
  "frac_coords": [[0.394, 0.144, 0.250], [0.606, 0.856, 0.750], [0.000, 0.000, 0.500], [0.000, 0.500, 0.000], [0.000, 0.500, 0.500], [0.500, 0.500, 0.000], [0.198, 0.235, 0.962], [0.227, 0.765, 0.462], [0.286, 0.297, 0.512], [0.286, 0.774, 0.988], [0.714, 0.226, 0.012], [0.714, 0.703, 0.488], [0.773, 0.235, 0.538], [0.802, 0.765, 0.038]]
}

=====

{
  "formula": "Fe3Re",
  "functional": "PBE",
  "state": "relaxed",
  "sg": "No. 139",
  "dos_ef_per_ev_cell": 8.21,
  "e_tot_ev_per_atom": -9.394,
  "delta_e_f_ev_per_fu": 0.26,
  "lattice": [[-1.812, 1.812, 7.128], [1.812, -1.812, 7.128], [1.812, 1.812, -7.128]],
  "species": ["Fe", "Fe", "Fe", "Fe", "Fe", "Fe", "Re", "Re"],
  "frac_coords": [[0.000, 0.500, 0.500], [0.125, 0.125, 0.000], [0.250, 0.750, 0.500], [0.500, 0.000, 0.500], [0.750, 0.250, 0.500], [0.875, 0.875, 0.000], [0.372, 0.372, 0.000], [0.628, 0.628, 0.000]]
}